# Mg2AgPb

An optimized crystal structure of Mg2AgPb (PBEsol, Alexandria).

Structure (extended XYZ):
```
4
Lattice="-3.246 -0.429 0.677 1.684 -3.924 -2.669 1.305 -1.579 5.259" Properties=species:S:1:pos:R:3 pbc="T T T"
Pb -1.623 -0.214 0.339
Mg -0.649 -3.344 3.028
Mg 0.391 -2.587 0.238
Ag 0.653 -0.790 2.629
```

Properties
* space group: C2/m

# Mg2AgPb

An optimized crystal structure of Mg2AgPb (PBEsol, Alexandria).

Structure (extended XYZ):
```
4
Lattice="-0.588 -1.144 3.071 3.847 -3.118 -2.229 2.688 4.000 2.005" Properties=species:S:1:pos:R:3 pbc="T T T"
Pb 1.094 1.270 2.487
Mg 5.724 -0.314 2.784
Mg 2.179 -1.405 1.699
Ag 3.945 1.353 1.260
```

Properties
* space group: Cm

# MgAg2Pb

An optimized crystal structure of MgAg2Pb (PBEsol, Alexandria).

Structure (extended XYZ):
```
4
Lattice="-1.493 -2.976 -0.455 1.339 -0.163 -3.329 5.457 -3.097 2.346" Properties=species:S:1:pos:R:3 pbc="T T T"
Pb 2.651 -3.118 -0.719
Mg -0.077 -1.569 -1.892
Ag 4.289 -2.434 1.844
Ag 1.168 -0.663 0.502
```

Properties
* space group: Pmmm

# MgAg2Pb

An optimized crystal structure of MgAg2Pb (PBEsol, Alexandria).

Structure (extended XYZ):
```
4
Lattice="-0.601 -4.612 1.389 3.670 -3.152 -0.396 2.228 -1.644 3.987" Properties=species:S:1:pos:R:3 pbc="T T T"
Ag 0.000 0.000 0.000
Ag 3.974 -7.056 3.734
Mg 2.649 -4.704 2.489
Pb 1.325 -2.352 1.245
```

Properties
* space group: F-43m

# Mg2AgPb

An optimized crystal structure of Mg2AgPb (PBEsol, Alexandria).

Structure (extended XYZ):
```
4
Lattice="3.690 0.000 0.000 0.000 3.690 0.000 0.000 0.000 6.418" Properties=species:S:1:pos:R:3 pbc="T T T"
Ag 1.845 1.845 5.073
Mg 0.000 0.000 6.235
Mg 1.845 1.845 1.523
Pb 0.000 0.000 3.214
```

Properties
* space group: P4mm

# MgAgPb

An optimized crystal structure of MgAgPb (PBEsol, Alexandria).

Structure (extended XYZ):
```
3
Lattice="3.307 0.000 0.000 0.000 4.842 0.000 0.000 -2.421 4.193" Properties=species:S:1:pos:R:3 pbc="T T T"
Ag 0.009 0.000 0.000
Mg 2.394 2.421 1.398
Pb 0.904 0.000 2.795
```

Properties
* space group: P3m1

# Mg2Ag2Pb

An optimized crystal structure of Mg2Ag2Pb (PBEsol, Alexandria).

Structure (extended XYZ):
```
10
Lattice="-3.087 -0.925 -0.715 2.772 -5.275 -5.146 0.300 -5.412 5.710" Properties=species:S:1:pos:R:3 pbc="T T T"
Pb 0.000 0.000 0.000
Pb 1.536 -5.344 0.282
Mg -0.883 -4.945 2.592
Mg 0.553 -8.490 0.976
Mg 0.868 -6.668 -2.742
Mg -0.568 -3.123 -1.126
Ag 1.296 -6.692 3.066
Ag 2.608 -7.999 -0.911
Ag 1.776 -3.996 -2.501
Ag 0.464 -2.689 1.476
```

Properties
* space group: P4/mbm

# Mg2AgPb

An optimized crystal structure of Mg2AgPb (PBEsol, Alexandria).

Structure (extended XYZ):
```
4
Lattice="-3.245 -2.910 1.344 3.372 -1.804 -3.505 1.525 0.281 4.289" Properties=species:S:1:pos:R:3 pbc="T T T"
Pb -0.860 -1.314 2.817
Mg -0.366 -3.014 0.328
Mg 2.018 -1.419 1.800
Ag 0.000 0.000 0.000
```

Properties
* space group: I4/mmm

Size of the total moment values, unit μB/cell, following the record order: 0.00; 0.00; 0.00; 0.00; 0.00; 0.00; 0.00; 0.00.
Formation energy values, unit eV/atom, following the record order: -0.059; -0.065; -0.061; 0.017; -0.059; 0.035; -0.128; -0.093.
Fermi-level density of states values, unit states/eV/cell, following the record order: 1.45; 1.68; 1.64; 1.33; 1.14; 1.55; 3.31; 1.27.